(1)
The following is a PBE calculation of a relaxed structure of TlFeOs, from Alexandria.

Computed properties:
ΔE to the lowest computed polymorph: 298 meV per atom
electronic total energy: -6.4200 eV/atom

Cell: 5.916 5.916 5.916 Å, 90.00 90.00 90.00°
Fractional coordinates of all 12 atoms:
Tl  0.000  0.000  0.000
Tl  0.000  0.500  0.500
Tl  0.500  0.000  0.500
Tl  0.500  0.500  0.000
Fe  0.250  0.250  0.250
Fe  0.250  0.750  0.750
Fe  0.750  0.250  0.750
Fe  0.750  0.750  0.250
Os  0.000  0.000  0.500
Os  0.000  0.500  0.000
Os  0.500  0.000  0.000
Os  0.500  0.500  0.500

***

(2)
The following is a PBE calculation of a relaxed structure of Sr2AgHPt, from Alexandria.

Computed properties:
ΔE to the lowest computed polymorph: 0 meV per atom
electronic total energy: -3.6415 eV/atom

Cell: 5.464 5.464 3.733 Å, 90.00 90.00 90.00°
Fractional coordinates of all 5 atoms:
Sr  0.000  0.500  0.000
Sr  0.500  0.000  0.000
Ag  0.000  0.000  0.500
H  0.500  0.500  0.000
Pt  0.500  0.500  0.500

***

(3)
The following is a PBE calculation of a relaxed structure of CsHg3Pt, from Alexandria.

Computed properties:
ΔE to the lowest computed polymorph: 160 meV per atom
electronic total energy: -1.7027 eV/atom

Cell: 7.539 7.773 7.819 Å, 60.94 74.32 64.42°
Fractional coordinates of all 10 atoms:
Cs  0.000  0.000  0.000
Cs  0.287  0.603  0.652
Hg  0.025  0.382  0.144
Hg  0.239  0.243  0.487
Hg  0.493  0.005  0.147
Hg  0.681  0.608  0.899
Hg  0.765  0.171  0.496
Hg  0.846  0.561  0.461
Pt  0.482  0.042  0.791
Pt  0.588  0.910  0.504

***

(4)
The following is a PBE calculation of a relaxed structure of Li2TbPmSi2, from Alexandria.

Computed properties:
electronic total energy: -4.5665 eV/atom
formation energy without anion corrections: -0.557 eV/atom

Cell: 4.416 4.416 7.310 Å, 90.00 90.00 120.00°
Fractional coordinates of all 6 atoms:
Li  0.333  0.667  0.230
Li  0.667  0.333  0.770
Tb  0.000  0.000  0.000
Pm  0.000  0.000  0.500
Si  0.333  0.667  0.758
Si  0.667  0.333  0.242

***

(5)
The following is a PBE calculation of a relaxed structure of AlTcNi2Pd, from Alexandria.

Computed properties:
electronic total energy: -4.7985 eV/atom

Cell: 4.524 4.524 4.657 Å, 90.00 90.00 90.00°
Fractional coordinates of all 5 atoms:
Al  0.000  0.000  0.000
Tc  0.500  0.500  0.000
Ni  0.000  0.500  0.500
Ni  0.500  0.000  0.500
Pd  0.500  0.500  0.500

***

(6)
The following is a PBE calculation of a relaxed structure of KLi2SiAu, from Alexandria.

Computed properties:
ΔE to the lowest computed polymorph: 0 meV per atom
electronic total energy: -2.9094 eV/atom
formation energy without anion corrections: -0.184 eV/atom

Cell: 5.054 5.054 4.791 Å, 90.00 90.00 90.00°
Fractional coordinates of all 5 atoms:
K  0.000  0.000  0.000
Li  0.000  0.500  0.500
Li  0.500  0.000  0.500
Si  0.500  0.500  0.500
Au  0.500  0.500  0.000

***

Calculated values (states/eV per atom) of DOS at the Fermi energy for the records, taken in order: 1.31 0.42 0.18 0.22 1.74 0.17.